## w
KSe3Cl | the Alexandria database | GGA-PBE | optimized geometry; space group = No. 221; volume = 260.8 Å³ per cell; magnetization = 6.000 μB per formula unit; theoretical density = 1.98 Mg/m³
1.0
-6.233 0.261 -1.379
0.954 -3.814 -5.036
-1.029 -5.118 3.682
K Se Cl
1 3 1
Cartesian
0.000 0.000 0.000
0.477 -1.907 -2.518
-0.515 -2.559 1.841
-3.116 0.131 -0.689
-3.154 -4.336 -1.366

## x
KSe3Cl | the Alexandria database | GGA-PBE | optimized geometry; space group = No. 221; volume = 139.7 Å³ per cell; magnetization = 0.000 μB per formula unit; theoretical density = 3.70 Mg/m³
1.0
-4.819 0.139 -1.917
-1.353 -3.921 3.117
-1.365 3.395 3.678
K Se Cl
1 3 1
Cartesian
-3.769 -0.193 2.439
-0.676 -1.960 1.559
-0.683 1.698 1.839
-2.410 0.069 -0.959
0.000 0.000 0.000

Computed relative energies in units of kJ/mol of atoms: w 65.0; x 0.0

## w
K2YSeCl | the Alexandria database | GGA-PBE | optimized geometry; space group = No. 123; volume = 292.8 Å³ per cell; magnetization = 0.000 μB per formula unit; theoretical density = 1.60 Mg/m³
1.0
7.470 0.000 0.000
0.000 5.246 0.000
0.000 0.000 7.470
Y K Se Cl
1 2 1 1
Cartesian
0.000 0.000 0.000
0.000 0.000 3.735
3.735 0.000 0.000
0.000 2.623 0.000
3.735 2.623 3.735

## x
K2YSeCl | the Alexandria database | GGA-PBE | optimized geometry; space group = No. 123; volume = 220.1 Å³ per cell; magnetization = 1.151 μB per formula unit; theoretical density = 2.12 Mg/m³
1.0
6.268 0.000 0.000
0.000 5.603 0.000
0.000 0.000 6.268
Y K Se Cl
1 2 1 1
Cartesian
3.134 2.802 3.134
0.000 0.000 3.134
3.134 0.000 0.000
0.000 0.000 0.000
0.000 2.802 0.000

Computed relative energies in units of kJ/mol of atoms: w 0.0; x 63.0

## w
KSiCl | the Alexandria database | GGA-PBE | optimized geometry; space group = No. 216; volume = 110.6 Å³ per cell; magnetization = 2.000 μB per formula unit; theoretical density = 1.54 Mg/m³
1.0
-2.284 4.784 0.960
-4.207 1.617 -2.952
-4.906 0.247 2.212
Cl K Si
1 1 1
Cartesian
-5.699 3.324 0.110
-8.548 4.986 0.165
0.000 0.000 0.000

## x
KSiCl | the Alexandria database | GGA-PBE | optimized geometry; space group = No. 8; volume = 293.0 Å³ per cell; magnetization = 0.000 μB per formula unit; theoretical density = 2.33 Mg/m³
1.0
3.580 0.000 -0.001
0.000 3.580 0.000
-3.511 0.000 22.861
K Si Cl
4 4 4
Cartesian
0.067 0.000 15.534
1.823 1.790 4.104
0.067 0.000 11.636
1.822 1.790 0.205
0.061 0.000 20.266
1.817 1.790 8.836
0.023 0.000 8.243
-1.733 1.790 19.673
0.034 0.000 2.101
-1.722 1.790 13.532
0.031 0.000 5.889
-1.725 1.790 17.320

Computed relative energies in units of kJ/mol of atoms: w 109.5; x 0.0

## w
KSiCl | the Alexandria database | GGA-PBE | optimized geometry; space group = No. 44; volume = 90.3 Å³ per cell; magnetization = 0.000 μB per formula unit; theoretical density = 1.89 Mg/m³
1.0
-1.843 5.737 0.256
-5.768 0.963 1.476
5.425 -2.133 1.546
Cl K Si
1 1 1
Cartesian
-0.574 0.505 0.131
-4.803 4.228 1.093
-2.234 1.966 0.508

## x
KSiCl | the Alexandria database | GGA-PBE | optimized geometry; space group = No. 187; volume = 78.8 Å³ per cell; magnetization = 0.000 μB per formula unit; theoretical density = 2.16 Mg/m³
1.0
-0.995 0.337 -5.104
-0.744 -4.507 2.508
-3.155 0.896 0.674
Cl K Si
1 1 1
Cartesian
-2.627 0.746 0.561
-1.964 -0.979 -2.342
-3.459 -2.145 0.532

## y
KSiCl | the Alexandria database | GGA-PBE | optimized geometry; space group = No. 156; volume = 164.1 Å³ per cell; magnetization = 0.000 μB per formula unit; theoretical density = 2.08 Mg/m³
1.0
4.006 0.000 0.000
-2.003 3.469 0.000
0.000 0.000 11.803
K Si Cl
2 2 2
Cartesian
0.000 0.000 4.184
0.000 0.000 0.079
0.000 2.313 9.238
2.003 1.156 8.528
2.003 1.156 2.135
2.003 1.156 6.174

Computed relative energies in units of kJ/mol of atoms: w 73.4; x 95.1; y 0.0